DFT (PBE+U) results for a relaxed Rb2Ni3RhF12 crystal.

Summary:
The final energy comes out at -78.254 eV for the cell shown.

Lattice parameters (Å, degrees): 7.441 7.441 7.441 58.50 58.50 58.50
Element x y z (fractional)
F 0.679 0.076 0.076
F 0.677 0.677 0.076
F 0.924 0.321 0.924
F 0.924 0.323 0.323
F 0.677 0.076 0.677
F 0.321 0.924 0.924
F 0.076 0.677 0.677
F 0.323 0.924 0.323
F 0.924 0.924 0.321
F 0.076 0.679 0.076
F 0.076 0.076 0.679
F 0.323 0.323 0.924
Ni 0.000 0.000 0.500
Ni 0.000 0.500 0.000
Ni 0.500 0.000 0.000
Rb 0.609 0.609 0.609
Rb 0.391 0.391 0.391
Rh 0.000 0.000 0.000